No. 1
# MgIn2Pb (PBE-GGA, optimized geometry)
# ΔH_f (0 K) in eV per atom: 0.00
# Theoretical density in g/cm3: 7.16
# Uncorrected energy in eV per atom: -2.69
# Crystal system: orthorhombic
data_MgIn2Pb
_space_group_name_H-M_alt 'P 1'
_space_group_IT_number 1
_space_group_name_Hall 'P 1'
_cell_length_a 6.357
_cell_length_b 6.357
_cell_length_c 6.357
_cell_angle_alpha 147.32
_cell_angle_beta 128.92
_cell_angle_gamma 61.98
loop_
_atom_site_label
_atom_site_type_symbol
_atom_site_fract_x
_atom_site_fract_y
_atom_site_fract_z
_atom_site_occupancy
In1 In 0.513 0.513 0.000 1
Mg1 Mg 0.750 0.250 0.500 1
Pb1 Pb 0.250 0.750 0.500 1
In2 In 0.987 0.987 0.000 1


No. 2
# MgIn2Pb (PBE-GGA, optimized geometry)
# ΔH_f (0 K) in eV per atom: -0.02
# Theoretical density in g/cm3: 7.18
# Uncorrected energy in eV per atom: -2.71
# Crystal system: tetragonal
data_MgIn2Pb
_space_group_name_H-M_alt 'P 1'
_space_group_IT_number 1
_space_group_name_Hall 'P 1'
_cell_length_a 5.971
_cell_length_b 5.971
_cell_length_c 5.971
_cell_angle_alpha 134.49
_cell_angle_beta 134.49
_cell_angle_gamma 66.33
loop_
_atom_site_label
_atom_site_type_symbol
_atom_site_fract_x
_atom_site_fract_y
_atom_site_fract_z
_atom_site_occupancy
In1 In 0.000 0.000 0.000 1
In2 In 0.500 0.500 0.000 1
Mg1 Mg 0.250 0.750 0.500 1
Pb1 Pb 0.750 0.250 0.500 1


No. 3
# Mg3In2Pb2 (PBE-GGA, optimized geometry)
# ΔH_f (0 K) in eV per atom: -0.03
# Theoretical density in g/cm3: 6.35
# Uncorrected energy in eV per atom: -2.55
# Crystal system: triclinic
data_Mg3In2Pb2
_space_group_name_H-M_alt 'P 1'
_space_group_IT_number 1
_space_group_name_Hall 'P 1'
_cell_length_a 5.019
_cell_length_b 8.253
_cell_length_c 4.945
_cell_angle_alpha 73.83
_cell_angle_beta 90.01
_cell_angle_gamma 106.99
loop_
_atom_site_label
_atom_site_type_symbol
_atom_site_fract_x
_atom_site_fract_y
_atom_site_fract_z
_atom_site_occupancy
Mg1 Mg 0.000 0.000 0.000 1
In1 In 0.122 0.236 0.382 1
In2 In 0.878 0.764 0.618 1
Pb1 Pb 0.381 0.760 0.129 1
Pb2 Pb 0.619 0.240 0.871 1
Mg2 Mg 0.755 0.503 0.245 1
Mg3 Mg 0.245 0.497 0.755 1


No. 4
# Mg12In6Pb (PBE-GGA, optimized geometry)
# Energy relative to the lowest polymorph listed for this composition in meV/atom: 90
# ΔH_f (0 K) in eV per atom: 0.02
# Theoretical density in g/cm3: 4.17
# Uncorrected energy in eV per atom: -2.05
# Crystal system: trigonal
data_Mg12In6Pb
_space_group_name_H-M_alt 'P 1'
_space_group_IT_number 1
_space_group_name_Hall 'P 1'
_cell_length_a 8.066
_cell_length_b 8.066
_cell_length_c 8.066
_cell_angle_alpha 103.41
_cell_angle_beta 103.41
_cell_angle_gamma 103.41
loop_
_atom_site_label
_atom_site_type_symbol
_atom_site_fract_x
_atom_site_fract_y
_atom_site_fract_z
_atom_site_occupancy
Mg1 Mg 0.811 0.422 0.406 1
Mg2 Mg 0.260 0.734 0.006 1
Mg3 Mg 0.189 0.578 0.594 1
Mg4 Mg 0.578 0.594 0.189 1
Mg5 Mg 0.734 0.006 0.260 1
Pb1 Pb 0.000 0.000 0.000 1
In1 In 0.184 0.163 0.436 1
Mg6 Mg 0.006 0.260 0.734 1
In2 In 0.816 0.837 0.564 1
In3 In 0.163 0.436 0.184 1
Mg7 Mg 0.406 0.811 0.422 1
In4 In 0.436 0.184 0.163 1
Mg8 Mg 0.422 0.406 0.811 1
In5 In 0.837 0.564 0.816 1
In6 In 0.564 0.816 0.837 1
Mg9 Mg 0.266 0.994 0.740 1
Mg10 Mg 0.594 0.189 0.578 1
Mg11 Mg 0.740 0.266 0.994 1
Mg12 Mg 0.994 0.740 0.266 1


No. 5
# Mg8InPb3 (PBE-GGA, optimized geometry)
# Energy relative to the lowest polymorph listed for this composition in meV/atom: 45
# ΔH_f (0 K) in eV per atom: -0.01
# Theoretical density in g/cm3: 4.72
# Uncorrected energy in eV per atom: -2.22
# Crystal system: monoclinic
data_Mg8InPb3
_space_group_name_H-M_alt 'P 1'
_space_group_IT_number 1
_space_group_name_Hall 'P 1'
_cell_length_a 8.323
_cell_length_b 8.471
_cell_length_c 8.499
_cell_angle_alpha 47.96
_cell_angle_beta 110.00
_cell_angle_gamma 131.52
loop_
_atom_site_label
_atom_site_type_symbol
_atom_site_fract_x
_atom_site_fract_y
_atom_site_fract_z
_atom_site_occupancy
Pb1 Pb 0.438 0.000 0.462 1
Mg1 Mg 0.220 0.000 0.691 1
Pb2 Pb 0.758 0.515 0.717 1
Mg2 Mg 0.846 0.478 0.114 1
Mg3 Mg 0.828 0.000 0.584 1
Mg4 Mg 0.114 0.446 0.883 1
In1 In 0.006 0.000 0.951 1
Mg5 Mg 0.368 0.522 0.592 1
Mg6 Mg 0.631 0.000 0.849 1
Pb3 Pb 0.243 0.485 0.232 1
Mg7 Mg 0.669 0.555 0.328 1
Mg8 Mg 0.378 0.000 0.096 1


No. 6
# Mg8In2Pb (PBE-GGA, optimized geometry)
# Energy relative to the lowest polymorph listed for this composition in meV/atom: 55
# ΔH_f (0 K) in eV per atom: 0.00
# Theoretical density in g/cm3: 3.87
# Uncorrected energy in eV per atom: -2.00
# Crystal system: monoclinic
data_Mg8In2Pb
_space_group_name_H-M_alt 'P 1'
_space_group_IT_number 1
_space_group_name_Hall 'P 1'
_cell_length_a 5.379
_cell_length_b 8.288
_cell_length_c 7.876
_cell_angle_alpha 58.25
_cell_angle_beta 77.14
_cell_angle_gamma 64.99
loop_
_atom_site_label
_atom_site_type_symbol
_atom_site_fract_x
_atom_site_fract_y
_atom_site_fract_z
_atom_site_occupancy
Mg1 Mg 0.877 0.322 0.773 1
Pb1 Pb 0.500 0.000 0.000 1
Mg2 Mg 0.123 0.905 0.773 1
Mg3 Mg 0.688 0.596 0.000 1
In1 In 0.000 0.305 0.390 1
Mg4 Mg 0.500 0.222 0.556 1
Mg5 Mg 0.877 0.095 0.227 1
Mg6 Mg 0.312 0.404 0.000 1
Mg7 Mg 0.123 0.678 0.227 1
Mg8 Mg 0.500 0.778 0.444 1
In2 In 0.000 0.695 0.610 1


No. 7
# Mg2In12Pb5 (PBE-GGA, optimized geometry)
# ΔH_f (0 K) in eV per atom: 0.03
# Theoretical density in g/cm3: 7.57
# Uncorrected energy in eV per atom: -2.84
# Crystal system: monoclinic
data_Mg2In12Pb5
_space_group_name_H-M_alt 'P 1'
_space_group_IT_number 1
_space_group_name_Hall 'P 1'
_cell_length_a 5.468
_cell_length_b 10.988
_cell_length_c 10.988
_cell_angle_alpha 58.29
_cell_angle_beta 76.16
_cell_angle_gamma 76.16
loop_
_atom_site_label
_atom_site_type_symbol
_atom_site_fract_x
_atom_site_fract_y
_atom_site_fract_z
_atom_site_occupancy
In1 In 0.411 0.362 0.813 1
In2 In 0.411 0.813 0.362 1
Pb1 Pb 0.725 0.301 0.301 1
Mg1 Mg 0.000 0.245 0.755 1
In3 In 0.589 0.638 0.187 1
Pb2 Pb 0.326 0.192 0.192 1
Pb3 Pb 0.674 0.808 0.808 1
Pb4 Pb 0.500 0.000 0.000 1
In4 In 0.914 0.096 0.096 1
In5 In 0.804 0.936 0.449 1
In6 In 0.196 0.551 0.064 1
In7 In 0.196 0.064 0.551 1
Pb5 Pb 0.275 0.699 0.699 1
Mg2 Mg 0.000 0.755 0.245 1
In8 In 0.589 0.187 0.638 1
In9 In 0.115 0.415 0.415 1
In10 In 0.804 0.449 0.936 1
In11 In 0.885 0.585 0.585 1
In12 In 0.086 0.904 0.904 1


No. 8
# MgIn5Pb2 (PBE-GGA, optimized geometry)
# ΔH_f (0 K) in eV per atom: 0.01
# Theoretical density in g/cm3: 7.65
# Uncorrected energy in eV per atom: -2.83
# Crystal system: orthorhombic
data_MgIn5Pb2
_space_group_name_H-M_alt 'P 1'
_space_group_IT_number 1
_space_group_name_Hall 'P 1'
_cell_length_a 4.410
_cell_length_b 7.059
_cell_length_c 14.117
_cell_angle_alpha 90.00
_cell_angle_beta 90.00
_cell_angle_gamma 90.00
loop_
_atom_site_label
_atom_site_type_symbol
_atom_site_fract_x
_atom_site_fract_y
_atom_site_fract_z
_atom_site_occupancy
Pb1 Pb 0.500 0.735 0.880 1
In1 In 0.000 0.493 0.749 1
In2 In 0.000 0.993 0.751 1
Mg1 Mg 0.000 0.000 0.500 1
In3 In 0.500 0.247 0.875 1
In4 In 0.000 0.007 0.249 1
In5 In 0.500 0.253 0.375 1
In6 In 0.000 0.000 0.000 1
Pb2 Pb 0.500 0.265 0.120 1
In7 In 0.000 0.507 0.251 1
In8 In 0.000 0.500 0.500 1
In9 In 0.500 0.753 0.125 1
Mg2 Mg 0.000 0.500 0.000 1
Pb3 Pb 0.500 0.765 0.380 1
In10 In 0.500 0.747 0.625 1
Pb4 Pb 0.500 0.235 0.620 1


No. 9
# Mg3In6Pb (PBE-GGA, optimized geometry)
# ΔH_f (0 K) in eV per atom: 0.02
# Theoretical density in g/cm3: 6.01
# Uncorrected energy in eV per atom: -2.47
# Crystal system: orthorhombic
data_Mg3In6Pb
_space_group_name_H-M_alt 'P 1'
_space_group_IT_number 1
_space_group_name_Hall 'P 1'
_cell_length_a 7.444
_cell_length_b 9.877
_cell_length_c 7.444
_cell_angle_alpha 90.00
_cell_angle_beta 101.95
_cell_angle_gamma 90.00
loop_
_atom_site_label
_atom_site_type_symbol
_atom_site_fract_x
_atom_site_fract_y
_atom_site_fract_z
_atom_site_occupancy
Mg1 Mg 0.445 0.124 0.555 1
In1 In 0.004 0.174 0.390 1
In2 In 0.230 0.943 0.770 1
In3 In 0.965 0.832 0.035 1
In4 In 0.258 0.849 0.390 1
In5 In 0.390 0.674 0.004 1
In6 In 0.770 0.443 0.230 1
Pb1 Pb 0.681 0.920 0.319 1
In7 In 0.996 0.674 0.610 1
Mg2 Mg 0.125 0.574 0.256 1
Pb2 Pb 0.319 0.420 0.681 1
Mg3 Mg 0.555 0.624 0.445 1
Mg4 Mg 0.256 0.074 0.125 1
Mg5 Mg 0.875 0.074 0.744 1
In8 In 0.390 0.349 0.258 1
Mg6 Mg 0.744 0.574 0.875 1
In9 In 0.035 0.332 0.965 1
In10 In 0.610 0.849 0.742 1
In11 In 0.610 0.174 0.996 1
In12 In 0.742 0.349 0.610 1


No. 10
# Mg2InPb (PBE-GGA, optimized geometry)
# ΔH_f (0 K) in eV per atom: -0.07
# Theoretical density in g/cm3: 6.19
# Uncorrected energy in eV per atom: -2.47
# Crystal system: tetragonal
data_Mg2InPb
_space_group_name_H-M_alt 'P 1'
_space_group_IT_number 1
_space_group_name_Hall 'P 1'
_cell_length_a 3.410
_cell_length_b 3.410
_cell_length_c 8.559
_cell_angle_alpha 90.00
_cell_angle_beta 90.00
_cell_angle_gamma 90.00
loop_
_atom_site_label
_atom_site_type_symbol
_atom_site_fract_x
_atom_site_fract_y
_atom_site_fract_z
_atom_site_occupancy
In1 In 0.500 0.500 0.750 1
Mg1 Mg 0.000 0.000 0.507 1
Mg2 Mg 0.000 0.000 0.993 1
Pb1 Pb 0.500 0.500 0.250 1